## Hg3BSb (GGA-PBE)

Data for a relaxed structure of Hg3BSb.

POSCAR file:
```
Hg3BSb
1.0
4.828 0.000 0.000
0.000 4.828 0.000
0.000 0.000 4.828
Hg Sb B
3 1 1
Cartesian
0.000 0.000 2.414
0.000 2.414 0.000
2.414 0.000 0.000
2.414 2.414 2.414
0.000 0.000 0.000
```

Summary:
raw formation energy: 690 meV/atom
uncorrected energy: -1.65 eV per atom
calculated density: 10.83 Mg/m³